(1)
HfSn2BiB | PBE | optimized geometry

## Properties
The value obtained for the energy of formation from the pure elements is 37.7 kJ per mole of atoms.

Structure (CIF):
```
data_HfSn2BiB
_space_group_name_H-M_alt 'P 4/m m m'
_space_group_IT_number 123
_space_group_name_Hall '-P 4 2'
_cell_length_a 4.910
_cell_length_b 4.910
_cell_length_c 4.747
_cell_angle_alpha 90.00
_cell_angle_beta 90.00
_cell_angle_gamma 90.00
loop_
_atom_site_label
_atom_site_type_symbol
_atom_site_fract_x
_atom_site_fract_y
_atom_site_fract_z
_atom_site_occupancy
Hf1 Hf 0.000 0.000 0.000 1
Sn1 Sn 0.000 0.500 0.500 1
Bi1 Bi 0.500 0.500 0.000 1
B1 B 0.000 0.000 0.500 1
```

***

(2)
Tl6ReF12 | PBE | optimized geometry

## Properties
The calculation puts the formation energy from raw total energies at -1893 meV/atom.

Structure (CIF):
```
data_Tl6ReF12
_space_group_name_H-M_alt 'R -3'
_space_group_IT_number 148
_space_group_name_Hall '-R 3'
_cell_length_a 11.7305
_cell_length_b 11.7305
_cell_length_c 11.1860
_cell_angle_alpha 90.00
_cell_angle_beta 90.00
_cell_angle_gamma 120.00
loop_
_atom_site_label
_atom_site_type_symbol
_atom_site_fract_x
_atom_site_fract_y
_atom_site_fract_z
_atom_site_occupancy
Tl1 Tl 0.0337 0.2429 0.1301 1
Re1 Re 0.0000 0.0000 0.5000 1
F1 F 0.0350 0.2122 0.9028 1
F2 F 0.0371 0.1489 0.4039 1
```

***

(3)
Ac2TmMg | PBE | optimized geometry

## Properties
The value obtained for the energy of formation from the pure elements is 25.3 kJ per mole of atoms.

Structure (CIF):
```
data_Ac2TmMg
_space_group_name_H-M_alt 'R -3 m'
_space_group_IT_number 166
_space_group_name_Hall '-R 3 2"'
_cell_length_a 3.7291
_cell_length_b 3.7291
_cell_length_c 38.9251
_cell_angle_alpha 90.00
_cell_angle_beta 90.00
_cell_angle_gamma 120.00
loop_
_atom_site_label
_atom_site_type_symbol
_atom_site_fract_x
_atom_site_fract_y
_atom_site_fract_z
_atom_site_occupancy
Ac1 Ac 0.0000 0.0000 0.0906 1
Tm1 Tm 0.0000 0.0000 0.5000 1
Mg1 Mg 0.0000 0.0000 0.0000 1
```

***

(4)
Ba2GaHgS5 | PBE | optimized geometry

## Properties
The calculation puts the formation energy from raw total energies at -1051 meV/atom.

Structure (CIF):
```
data_Ba2GaHgS5
_space_group_name_H-M_alt 'C m c 21'
_space_group_IT_number 36
_space_group_name_Hall 'C 2c -2'
_cell_length_a 4.043
_cell_length_b 19.690
_cell_length_c 12.173
_cell_angle_alpha 90.00
_cell_angle_beta 90.00
_cell_angle_gamma 90.00
loop_
_atom_site_label
_atom_site_type_symbol
_atom_site_fract_x
_atom_site_fract_y
_atom_site_fract_z
_atom_site_occupancy
Ba1 Ba 0.000 0.110 0.000 1
Ba2 Ba 0.000 0.120 0.381 1
Ga1 Ga 0.000 0.441 0.155 1
Hg1 Hg 0.000 0.228 0.727 1
S1 S 0.000 0.034 0.751 1
S2 S 0.000 0.286 0.373 1
S3 S 0.000 0.326 0.106 1
S4 S 0.000 0.357 0.690 1
S5 S 0.000 0.487 0.985 1
```